# 1
Below is a relaxed structure of PmHo2N, with properties calculated at the GGA-PBE level.

Results
Total magnetization   0.00 μB/atom
Density of states at the Fermi level   1.17 states/eV/atom
Electronic total energy   -5.748 eV/atom
ΔE_f (raw)   -18.4 kJ/mol of atoms
Symmetry   No. 123

```
PmHo2N
1.0
3.1642 0.0000 0.0000
0.0000 3.1642 0.0000
0.0000 0.0000 8.8796
Pm Ho N
1 2 1
Cartesian
0.0000 0.0000 0.0000
1.5821 1.5821 3.0298
1.5821 1.5821 5.8498
0.0000 0.0000 4.4398
```

---

# 2
Below is a relaxed structure of Hf2Zr2Pt, with properties calculated at the GGA-PBE level.

Results
Calculated formation energy   -11.1 kJ/mol of atoms
Total magnetization   0.00 μB/atom
Density of states at the Fermi level   0.65 states/eV/atom
Electronic total energy   -8.724 eV/atom
Symmetry   No. 127

```
Hf2Zr2Pt
1.0
6.9781 0.0000 0.0000
0.0000 6.9781 0.0000
0.0000 0.0000 4.6207
Hf Zr Pt
4 4 2
Cartesian
1.0588 2.4303 0.0000
2.4303 5.9193 0.0000
4.5478 1.0588 0.0000
5.9193 4.5478 0.0000
1.0496 4.5386 2.3104
2.4395 1.0496 2.3104
4.5386 5.9285 2.3104
5.9285 2.4395 2.3104
0.0000 0.0000 2.3104
3.4891 3.4891 2.3104
```

---

# 3
Below is a relaxed structure of Ac5LaHg6, with properties calculated at the GGA-PBE level.

Results
Calculated formation energy   -46.0 kJ/mol of atoms
Total magnetization   0.14 μB/atom
Density of states at the Fermi level   1.12 states/eV/atom
Electronic total energy   -2.751 eV/atom
Symmetry   No. 65

```
Ac5LaHg6
1.0
2.8396 -8.5413 0.0000
2.8396 8.5413 0.0000
0.0000 0.0000 8.0561
Ac La Hg
5 1 6
Cartesian
0.0000 0.0000 0.0000
2.8396 2.8492 0.0000
2.8396 2.8372 4.0281
2.8396 -2.8372 4.0281
2.8396 -2.8492 0.0000
0.0000 0.0000 4.0281
2.8396 5.7392 2.0363
2.8396 5.7392 6.0198
2.8396 0.0000 2.0623
2.8396 0.0000 5.9938
2.8396 -5.7392 2.0363
2.8396 -5.7392 6.0198
```

---

Q: Look up the electronic total energy of the third one.
A: -2.751 eV/atom

---

Q: What is the density of states at the Fermi level in the second record?
A: 0.65 states/eV/atom

---

What did the second record say?
Below is a relaxed structure of Hf2Zr2Pt, with properties calculated at the GGA-PBE level.

Results
Calculated formation energy   -11.1 kJ/mol of atoms
Total magnetization   0.00 μB/atom
Density of states at the Fermi level   0.65 states/eV/atom
Electronic total energy   -8.724 eV/atom
Symmetry   No. 127

```
Hf2Zr2Pt
1.0
6.9781 0.0000 0.0000
0.0000 6.9781 0.0000
0.0000 0.0000 4.6207
Hf Zr Pt
4 4 2
Cartesian
1.0588 2.4303 0.0000
2.4303 5.9193 0.0000
4.5478 1.0588 0.0000
5.9193 4.5478 0.0000
1.0496 4.5386 2.3104
2.4395 1.0496 2.3104
4.5386 5.9285 2.3104
5.9285 2.4395 2.3104
0.0000 0.0000 2.3104
3.4891 3.4891 2.3104
```

---

Q: Number 1 is which compound?
A: PmHo2N